# ScSnMoPb2 PBE optimized geometry
data_ScSnMoPb2
_space_group_name_H-M_alt 'P 4/m m m'
_space_group_IT_number 123
_space_group_name_Hall '-P 4 2'
_cell_length_a 5.3673
_cell_length_b 5.3673
_cell_length_c 5.2520
_cell_angle_alpha 90.00
_cell_angle_beta 90.00
_cell_angle_gamma 90.00
loop_
_atom_site_label
_atom_site_type_symbol
_atom_site_fract_x
_atom_site_fract_y
_atom_site_fract_z
Sc1 Sc 0.0000 0.0000 0.0000
Sn1 Sn 0.5000 0.5000 0.0000
Mo1 Mo 0.5000 0.5000 0.5000
Pb1 Pb 0.0000 0.5000 0.5000
# Formation energy from the elements (eV per atom): 0.61
# VASP energy (eV/atom): -5.11

# PrNd2Si2Pd2 PBE optimized geometry
data_PrNd2Si2Pd2
_space_group_name_H-M_alt 'R -3 m'
_space_group_IT_number 166
_space_group_name_Hall '-R 3 2"'
_cell_length_a 4.4050
_cell_length_b 4.4050
_cell_length_c 29.4534
_cell_angle_alpha 90.00
_cell_angle_beta 90.00
_cell_angle_gamma 120.00
loop_
_atom_site_label
_atom_site_type_symbol
_atom_site_fract_x
_atom_site_fract_y
_atom_site_fract_z
Pr1 Pr 0.0000 0.0000 0.0000
Nd1 Nd 0.0000 0.0000 0.1246
Si1 Si 0.0000 0.0000 0.2614
Pd1 Pd 0.0000 0.0000 0.3978
# Formation energy (no corrections) (meV per atom): -756
# VASP energy (eV/atom): -5.83

# Ba6Ge2SI3 PBE optimized geometry
data_Ba6Ge2SI3
_space_group_name_H-M_alt 'C 1 2/m 1'
_space_group_IT_number 12
_space_group_name_Hall '-C 2y'
_cell_length_a 8.3538
_cell_length_b 14.4688
_cell_length_c 8.9481
_cell_angle_alpha 90.00
_cell_angle_beta 108.10
_cell_angle_gamma 90.00
loop_
_atom_site_label
_atom_site_type_symbol
_atom_site_fract_x
_atom_site_fract_y
_atom_site_fract_z
Ba1 Ba 0.2333 0.1648 0.2057
Ba2 Ba 0.2388 0.5000 0.2055
Ge1 Ge 0.0000 0.3333 0.0000
S1 S 0.0000 0.0000 0.0000
I1 I 0.0000 0.1664 0.5000
I2 I 0.0000 0.5000 0.5000
# Formation energy (no corrections) (meV per atom): -1265
# VASP energy (eV/atom): -3.73

DOS at the Fermi energy per entry: 5.412 4.293 11.290 states/eV/f.u.